## CrCoIr (GGA-PBEsol)

Data for a relaxed structure of CrCoIr.

Unit cell a=3.856 b=3.856 c=3.856 alpha=60.00 beta=60.00 gamma=60.00
Fractional positions:
Cr 0.250 0.250 0.250
Co 0.500 0.500 0.500
Ir 0.000 0.000 0.000

Results
Final energy (eV per atom): -8.947
Distance to the lowest polymorph of the same formula (kcal/mol of atoms): 8.98
Calculated formation energy (eV/atom): 0.32
Size of the total moment (μB/f.u.): 0.0

## Cr2CoIr (GGA-PBEsol)

Data for a relaxed structure of Cr2CoIr.

Unit cell a=2.575 b=4.397 c=4.397 alpha=109.69 beta=90.00 gamma=90.00
Fractional positions:
Cr 0.000 0.000 0.500
Cr 0.000 0.500 0.000
Ir 0.500 0.000 0.000
Co 0.500 0.500 0.500

Results
Final energy (eV per atom): -9.558
Calculated formation energy (eV/atom): -0.05
Size of the total moment (μB/f.u.): 0.0

## Cr2CoIr (GGA-PBEsol)

Data for a relaxed structure of Cr2CoIr.

Unit cell a=2.581 b=3.547 c=5.088 alpha=90.00 beta=90.00 gamma=90.00
Fractional positions:
Cr 0.000 0.000 0.270
Cr 0.000 0.000 0.730
Ir 0.500 0.500 0.000
Co 0.500 0.500 0.500

Results
Final energy (eV per atom): -9.582
Calculated formation energy (eV/atom): -0.07
Size of the total moment (μB/f.u.): 0.0

## Cr2CoIr (GGA-PBEsol)

Data for a relaxed structure of Cr2CoIr.

Unit cell a=2.588 b=4.054 c=4.452 alpha=90.00 beta=90.00 gamma=90.00
Fractional positions:
Cr 0.000 0.500 0.047
Cr 0.000 0.000 0.719
Ir 0.500 0.500 0.545
Co 0.500 0.000 0.189

Results
Final energy (eV per atom): -9.597
Calculated formation energy (eV/atom): -0.09
Size of the total moment (μB/f.u.): 0.0

## CrCoIr (GGA-PBEsol)

Data for a relaxed structure of CrCoIr.

Unit cell a=2.593 b=3.567 c=4.432 alpha=113.73 beta=107.01 gamma=90.00
Fractional positions:
Cr 0.664 0.664 0.328
Co 0.003 0.003 0.006
Ir 0.333 0.333 0.666

Results
Final energy (eV per atom): -9.336
Distance to the lowest polymorph of the same formula (kcal/mol of atoms): 0.00
Calculated formation energy (eV/atom): -0.07
Size of the total moment (μB/f.u.): 0.7

## Cr2CoIr (GGA-PBEsol)

Data for a relaxed structure of Cr2CoIr.

Unit cell a=2.564 b=2.564 c=7.102 alpha=90.00 beta=90.00 gamma=90.00
Fractional positions:
Cr 0.000 0.000 0.736
Cr 0.000 0.000 0.264
Co 0.500 0.500 0.500
Ir 0.500 0.500 0.000

Results
Final energy (eV per atom): -9.542
Calculated formation energy (eV/atom): -0.03
Size of the total moment (μB/f.u.): 0.0

## Cr2CoIr (GGA-PBEsol)

Data for a relaxed structure of Cr2CoIr.

Unit cell a=2.547 b=2.547 c=8.012 alpha=90.00 beta=90.00 gamma=112.67
Fractional positions:
Cr 0.500 0.500 0.767
Cr 0.000 0.000 0.997
Ir 0.000 0.000 0.502
Co 0.500 0.500 0.233

Results
Final energy (eV per atom): -9.290
Calculated formation energy (eV/atom): 0.22
Size of the total moment (μB/f.u.): 1.3

## MnCrCoIr2 (GGA-PBEsol)

Data for a relaxed structure of MnCrCoIr2.

Unit cell a=4.093 b=4.391 c=4.391 alpha=90.00 beta=90.00 gamma=90.00
Fractional positions:
Cr 0.500 0.000 0.000
Co 0.500 0.500 0.500
Ir 0.000 0.000 0.500
Ir 0.000 0.500 0.000
Mn 0.000 0.000 0.000

Results
Final energy (eV per atom): -7.996
Calculated formation energy (eV/atom): 1.48
Size of the total moment (μB/f.u.): 4.3

## KCrCo2 (GGA-PBEsol)

Data for a relaxed structure of KCrCo2.

Unit cell a=2.620 b=2.620 c=9.306 alpha=81.91 beta=81.91 gamma=60.00
Fractional positions:
Cr 0.500 0.500 0.500
Co 0.233 0.233 0.300
Co 0.767 0.767 0.700
K 0.000 0.000 0.000

Results
Final energy (eV per atom): -5.829
Distance to the lowest polymorph of the same formula (kcal/mol of atoms): 0.88
Calculated formation energy (eV/atom): 0.88
Size of the total moment (μB/f.u.): 0.9

## KCrCo2 (GGA-PBEsol)

Data for a relaxed structure of KCrCo2.

Unit cell a=2.642 b=4.086 c=6.902 alpha=96.81 beta=90.00 gamma=108.86
Fractional positions:
Co 0.279 0.558 0.373
Co 0.721 0.442 0.627
K 0.500 0.000 0.000
Cr 0.000 0.000 0.500

Results
Final energy (eV per atom): -5.867
Distance to the lowest polymorph of the same formula (kcal/mol of atoms): 0.00
Calculated formation energy (eV/atom): 0.84
Size of the total moment (μB/f.u.): 0.0

## LaCr4Co (GGA-PBEsol)

Data for a relaxed structure of LaCr4Co.

Unit cell a=4.905 b=4.905 c=4.905 alpha=60.00 beta=60.00 gamma=60.00
Fractional positions:
Cr 0.374 0.374 0.879
Cr 0.374 0.374 0.374
Cr 0.879 0.374 0.374
Cr 0.374 0.879 0.374
La 0.750 0.750 0.750
Co 0.000 0.000 0.000

Results
Final energy (eV per atom): -8.325
Calculated formation energy (eV/atom): 0.68
Size of the total moment (μB/f.u.): 0.3

## LaCrCo4 (GGA-PBEsol)

Data for a relaxed structure of LaCrCo4.

Unit cell a=4.913 b=4.913 c=4.913 alpha=60.00 beta=60.00 gamma=60.00
Fractional positions:
Co 0.624 0.129 0.624
Co 0.624 0.624 0.129
Co 0.624 0.624 0.624
Co 0.129 0.624 0.624
Cr 0.250 0.250 0.250
La 0.000 0.000 0.000

Results
Final energy (eV per atom): -7.495
Calculated formation energy (eV/atom): 0.26
Size of the total moment (μB/f.u.): 9.0

## LaCr2Co2 (GGA-PBEsol)

Data for a relaxed structure of LaCr2Co2.

Unit cell a=3.963 b=3.963 c=5.610 alpha=110.68 beta=110.68 gamma=90.00
Fractional positions:
Co 0.369 0.369 0.738
Co 0.631 0.631 0.262
La 0.000 0.000 0.000
Cr 0.250 0.750 0.500
Cr 0.750 0.250 0.500

Results
Final energy (eV per atom): -8.022
Calculated formation energy (eV/atom): 0.24
Size of the total moment (μB/f.u.): 2.3

## LiCrCo2 (GGA-PBEsol)

Data for a relaxed structure of LiCrCo2.

Unit cell a=2.397 b=3.732 c=4.587 alpha=90.00 beta=90.00 gamma=90.00
Fractional positions:
Li 0.500 0.500 0.770
Co 0.500 0.500 0.265
Co 0.000 0.000 0.975
Cr 0.000 0.000 0.491

Results
Final energy (eV per atom): -6.627
Distance to the lowest polymorph of the same formula (kcal/mol of atoms): 0.60
Calculated formation energy (eV/atom): 0.29
Size of the total moment (μB/f.u.): 0.2

## LiCr2Co (GGA-PBEsol)

Data for a relaxed structure of LiCr2Co.

Unit cell a=2.718 b=4.155 c=4.596 alpha=116.87 beta=107.20 gamma=90.00
Fractional positions:
Cr 0.727 0.227 0.455
Cr 0.011 0.011 0.021
Co 0.260 0.760 0.520
Li 0.502 0.502 0.004

Results
Final energy (eV per atom): -7.174
Distance to the lowest polymorph of the same formula (kcal/mol of atoms): 0.95
Calculated formation energy (eV/atom): 0.37
Size of the total moment (μB/f.u.): 0.0

## LiCr2Co (GGA-PBEsol)

Data for a relaxed structure of LiCr2Co.

Unit cell a=2.377 b=4.146 c=4.548 alpha=93.61 beta=90.00 gamma=106.66
Fractional positions:
Co 0.748 0.496 0.252
Cr 0.249 0.498 0.743
Cr 0.009 0.017 0.007
Li 0.495 0.990 0.498

Results
Final energy (eV per atom): -7.145
Distance to the lowest polymorph of the same formula (kcal/mol of atoms): 1.60
Calculated formation energy (eV/atom): 0.40
Size of the total moment (μB/f.u.): 0.0

## LiCrCo2 (GGA-PBEsol)

Data for a relaxed structure of LiCrCo2.

Unit cell a=2.657 b=3.928 c=3.928 alpha=90.00 beta=90.00 gamma=90.00
Fractional positions:
Co 0.000 0.500 0.000
Co 0.000 0.000 0.500
Cr 0.500 0.500 0.500
Li 0.500 0.000 0.000

Results
Final energy (eV per atom): -6.653
Distance to the lowest polymorph of the same formula (kcal/mol of atoms): 0.00
Calculated formation energy (eV/atom): 0.27
Size of the total moment (μB/f.u.): 1.1

## LiCr2Co (GGA-PBEsol)

Data for a relaxed structure of LiCr2Co.

Unit cell a=2.706 b=4.049 c=4.049 alpha=90.00 beta=90.00 gamma=90.00
Fractional positions:
Li 0.500 0.500 0.500
Co 0.500 0.000 0.000
Cr 0.000 0.500 0.000
Cr 0.000 0.000 0.500

Results
Final energy (eV per atom): -6.973
Distance to the lowest polymorph of the same formula (kcal/mol of atoms): 5.58
Calculated formation energy (eV/atom): 0.57
Size of the total moment (μB/f.u.): 4.0

## LiCr2Co (GGA-PBEsol)

Data for a relaxed structure of LiCr2Co.

Unit cell a=2.402 b=2.402 c=7.925 alpha=90.00 beta=90.00 gamma=90.00
Fractional positions:
Co 0.500 0.500 0.771
Cr 0.500 0.500 0.232
Cr 0.000 0.000 0.979
Li 0.000 0.000 0.519

Results
Final energy (eV per atom): -7.205
Distance to the lowest polymorph of the same formula (kcal/mol of atoms): 0.22
Calculated formation energy (eV/atom): 0.34
Size of the total moment (μB/f.u.): 0.3

## LiCr2Co (GGA-PBEsol)

Data for a relaxed structure of LiCr2Co.

Unit cell a=2.350 b=3.908 c=4.704 alpha=90.00 beta=97.18 gamma=90.00
Fractional positions:
Co 0.253 0.500 0.746
Cr 0.765 0.500 0.249
Cr 0.987 0.000 0.000
Li 0.495 0.000 0.505

Results
Final energy (eV per atom): -7.215
Distance to the lowest polymorph of the same formula (kcal/mol of atoms): 0.00
Calculated formation energy (eV/atom): 0.33
Size of the total moment (μB/f.u.): 1.0